VASP calculation (SCAN) on ReWCl2 at its PBEsol-relaxed geometry.

## Properties
**Formation energy from raw total energies**: -0.897 eV/f.u.
**Polymorph energy (0 for the lowest one)**: 0.0000 eV/atom
**Crystal system**: orthorhombic

Lattice parameters (Å, degrees): 2.940 3.214 8.171 90.00 90.00 90.00
Space group Pmm2 (No. 25)
Asymmetric unit:
Re  0.000  0.000  0.000 (multiplicity 1)
W  0.500  0.500  0.180 (multiplicity 1)
Cl  0.000  0.500  0.412 (multiplicity 1)
Cl  0.500  0.000  0.768 (multiplicity 1)


VASP calculation (SCAN) on ZrSI2O at its PBEsol-relaxed geometry.

## Properties
**Formation energy from raw total energies**: -4.292 eV/f.u.
**Polymorph energy (0 for the lowest one)**: 0.0000 eV/atom
**Crystal system**: tetragonal

Lattice parameters (Å, degrees): 5.754 5.754 3.950 90.00 90.00 90.00
Space group P4/mmm (No. 123)
Asymmetric unit:
Zr  0.000  0.000  0.000 (multiplicity 1)
S  0.500  0.500  0.500 (multiplicity 1)
I  0.000  0.500  0.000 (multiplicity 2)
O  0.000  0.000  0.500 (multiplicity 1)


VASP calculation (SCAN) on Zr3RuC at its PBEsol-relaxed geometry.

## Properties
**Energy relative to the elements**: -0.36 eV/atom
**Crystal system**: cubic

Lattice parameters (Å, degrees): 4.435 4.435 4.435 90.00 90.00 90.00
Space group Pm-3m (No. 221)
Asymmetric unit:
Zr  0.000  0.000  0.500 (multiplicity 3)
Ru  0.500  0.500  0.500 (multiplicity 1)
C  0.000  0.000  0.000 (multiplicity 1)


VASP calculation (SCAN) on YIrW2 at its PBEsol-relaxed geometry.

## Properties
**Polymorph energy (0 for the lowest one)**: 0.0000 eV/atom
**Energy relative to the elements**: 0.18 eV/atom
**Crystal system**: orthorhombic

Lattice parameters (Å, degrees): 3.316 4.420 9.440 90.00 90.00 90.00
Space group Immm (No. 71)
Asymmetric unit:
Y  0.000  0.000  0.000 (multiplicity 2)
Ir  0.000  0.000  0.500 (multiplicity 2)
W  0.000  0.500  0.243 (multiplicity 4)


VASP calculation (SCAN) on CoIr3 at its PBEsol-relaxed geometry.

## Properties
**Energy relative to the elements**: 0.00 eV/atom
**Crystal system**: orthorhombic

Lattice parameters (Å, degrees): 2.677 3.721 5.301 90.00 90.00 90.00
Space group Pmmm (No. 47)
Asymmetric unit:
Co  0.000  0.000  0.000 (multiplicity 1)
Ir  0.000  0.000  0.500 (multiplicity 1)
Ir  0.500  0.500  0.242 (multiplicity 2)


VASP calculation (SCAN) on Tl3Zn at its PBEsol-relaxed geometry.

## Properties
**Energy relative to the elements**: 0.20 eV/atom
**Crystal system**: trigonal

Lattice parameters (Å, degrees): 10.2973 10.2973 3.3441 90.00 90.00 120.00
Space group R-3m (No. 166, hexagonal axes)
Asymmetric unit:
Tl  0.0000  0.5000  0.0000 (multiplicity 9)
Zn  0.0000  0.0000  0.0000 (multiplicity 3)


VASP calculation (SCAN) on MnP2RhO at its PBEsol-relaxed geometry.

## Properties
**Formation energy from raw total energies**: -0.237 eV/f.u.
**Crystal system**: tetragonal

Lattice parameters (Å, degrees): 4.484 4.484 3.297 90.00 90.00 90.00
Space group P4/mmm (No. 123)
Asymmetric unit:
Mn  0.000  0.000  0.000 (multiplicity 1)
P  0.000  0.500  0.000 (multiplicity 2)
Rh  0.500  0.500  0.500 (multiplicity 1)
O  0.000  0.000  0.500 (multiplicity 1)


VASP calculation (SCAN) on Al2O3 at its PBEsol-relaxed geometry.

## Properties
**Formation energy from raw total energies**: -16.318 eV/f.u.
**Crystal system**: orthorhombic

Lattice parameters (Å, degrees): 9.714 5.527 4.938 90.00 90.00 90.00
Space group Cmc2_1 (No. 36)
Asymmetric unit:
Al  0.168  0.161  0.000 (multiplicity 8)
O  0.000  0.219  0.939 (multiplicity 4)
O  0.221  0.120  0.344 (multiplicity 8)


VASP calculation (SCAN) on MnAsOs2 at its PBEsol-relaxed geometry.

## Properties
**Energy relative to the elements**: 0.10 eV/atom
**Crystal system**: tetragonal

Lattice parameters (Å, degrees): 3.015 3.015 6.001 90.00 90.00 90.00
Space group P4/mmm (No. 123)
Asymmetric unit:
Mn  0.000  0.000  0.000 (multiplicity 1)
As  0.000  0.000  0.500 (multiplicity 1)
Os  0.500  0.500  0.242 (multiplicity 2)


VASP calculation (SCAN) on KAu2 at its PBEsol-relaxed geometry.

## Properties
**Energy relative to the elements**: -0.31 eV/atom
**Crystal system**: hexagonal

Lattice parameters (Å, degrees): 4.5985 4.5985 4.4218 90.00 90.00 120.00
Space group P6/mmm (No. 191)
Asymmetric unit:
K  0.0000  0.0000  0.0000 (multiplicity 1)
Au  0.3333  0.6667  0.5000 (multiplicity 2)


VASP calculation (SCAN) on TcTeAs2Se at its PBEsol-relaxed geometry.

## Properties
**Formation energy from raw total energies**: 2.023 eV/f.u.
**Crystal system**: tetragonal

Lattice parameters (Å, degrees): 4.854 4.854 4.659 90.00 90.00 90.00
Space group P4/mmm (No. 123)
Asymmetric unit:
Tc  0.000  0.000  0.000 (multiplicity 1)
Te  0.500  0.500  0.500 (multiplicity 1)
As  0.000  0.500  0.000 (multiplicity 2)
Se  0.000  0.000  0.500 (multiplicity 1)


VASP calculation (SCAN) on AlPPb at its PBEsol-relaxed geometry.

## Properties
**Polymorph energy (0 for the lowest one)**: 0.0888 eV/atom
**Energy relative to the elements**: -0.02 eV/atom
**Crystal system**: tetragonal

Lattice parameters (Å, degrees): 3.419 3.419 11.291 90.00 90.00 90.00
Space group I4mm (No. 107)
Asymmetric unit:
Al  0.000  0.000  0.000 (multiplicity 2)
P  0.000  0.000  0.464 (multiplicity 2)
Pb  0.000  0.000  0.711 (multiplicity 2)


Repeat the sixth record exactly.
VASP calculation (SCAN) on Tl3Zn at its PBEsol-relaxed geometry.

## Properties
**Energy relative to the elements**: 0.20 eV/atom
**Crystal system**: trigonal

Lattice parameters (Å, degrees): 10.2973 10.2973 3.3441 90.00 90.00 120.00
Space group R-3m (No. 166, hexagonal axes)
Asymmetric unit:
Tl  0.0000  0.5000  0.0000 (multiplicity 9)
Zn  0.0000  0.0000  0.0000 (multiplicity 3)